ZrTiOsAu, optimized geometry, DFT PBE; theoretical density = 12.4 Mg/m³; total DFT energy (no corrections) = -32.4 eV per cell
1.0
-0.947 2.798 -3.568
-1.629 -1.767 -3.959
-4.397 0.763 -1.240
Os Au Zr Ti
1 1 1 1
Direct
0.000 0.000 0.000 Os
0.500 0.500 0.500 Au
0.750 0.750 0.750 Zr
0.250 0.250 0.250 Ti